Computed, not measured: a geometry-optimized Tb3Y2Mg2 structure at the PBE level of DFT.

Computed properties:
For the density, the calculation gives 5537 kg/m³. Its calculated total energy is -4.2464 eV per atom. The space group is Cmmm.

Lattice parameters (Å, degrees): 3.7425 3.6245 15.6601 90.00 96.86 90.00
Sites, in units of the cell vectors:
Tb: 0.5782 0.5000 0.1564
Y: 0.7032 0.5000 0.4064
Mg: 0.8591 0.0000 0.7183
Tb: 0.4218 0.5000 0.8436
Tb: 0.0000 0.0000 0.0000
Mg: 0.1409 0.0000 0.2817
Y: 0.2968 0.5000 0.5936